a | Material: CdWIN2
Method: DFT, PBEsol
State: optimized geometry

Values from the calculation:
- spin magnetization (μB/f.u.) = 0.01

a = 3.987 Å, b = 3.987 Å, c = 5.694 Å
α = 90.00°, β = 90.00°, γ = 90.00°
Space group P4/mmm (No. 123)
One atom of each set of equivalent atoms:
Cd (0.000, 0.000, 0.000) x1
W (0.500, 0.500, 0.500) x1
I (0.500, 0.500, 0.000) x1
N (0.000, 0.500, 0.500) x2

b | Material: CdWIN2
Method: DFT, PBEsol
State: optimized geometry

Values from the calculation:
- spin magnetization (μB/f.u.) = 7.47

a = 4.141 Å, b = 4.141 Å, c = 6.885 Å
α = 90.00°, β = 90.00°, γ = 90.00°
Space group P4/mmm (No. 123)
One atom of each set of equivalent atoms:
Cd (0.000, 0.000, 0.000) x1
W (0.500, 0.500, 0.500) x1
I (0.000, 0.000, 0.500) x1
N (0.000, 0.500, 0.000) x2

Winner for stability: a

a | Material: CdOsIO2
Method: DFT, PBEsol
State: optimized geometry

Values from the calculation:
- spin magnetization (μB/f.u.) = 0.00

a = 3.831 Å, b = 3.831 Å, c = 7.647 Å
α = 90.00°, β = 90.00°, γ = 90.00°
Space group P4/mmm (No. 123)
One atom of each set of equivalent atoms:
Cd (0.000, 0.000, 0.000) x1
Os (0.500, 0.500, 0.500) x1
I (0.500, 0.500, 0.000) x1
O (0.000, 0.500, 0.500) x2

b | Material: CdOsIO2
Method: DFT, PBEsol
State: optimized geometry

Values from the calculation:
- spin magnetization (μB/f.u.) = 3.78

a = 4.011 Å, b = 4.011 Å, c = 6.121 Å
α = 90.00°, β = 90.00°, γ = 90.00°
Space group P4/mmm (No. 123)
One atom of each set of equivalent atoms:
Cd (0.000, 0.000, 0.000) x1
Os (0.500, 0.500, 0.500) x1
I (0.000, 0.000, 0.500) x1
O (0.000, 0.500, 0.000) x2

Winner for stability: a

a | Material: CdSeI3
Method: DFT, PBEsol
State: optimized geometry

Values from the calculation:
- spin magnetization (μB/f.u.) = 3.02

a = 5.750 Å, b = 5.750 Å, c = 5.750 Å
α = 90.00°, β = 90.00°, γ = 90.00°
Space group Pm-3m (No. 221)
One atom of each set of equivalent atoms:
Cd (0.000, 0.000, 0.000) x1
Se (0.500, 0.500, 0.500) x1
I (0.000, 0.000, 0.500) x3

b | Material: CdSeI3
Method: DFT, PBEsol
State: optimized geometry

Values from the calculation:
- spin magnetization (μB/f.u.) = 0.00

a = 5.633 Å, b = 5.633 Å, c = 5.633 Å
α = 90.00°, β = 90.00°, γ = 90.00°
Space group Pm-3m (No. 221)
One atom of each set of equivalent atoms:
Cd (0.000, 0.000, 0.000) x1
Se (0.500, 0.500, 0.500) x1
I (0.000, 0.500, 0.500) x3

Winner for stability: b

a | Material: Cd4In
Method: DFT, PBEsol
State: optimized geometry

Values from the calculation:
- spin magnetization (μB/f.u.) = 0.00

a = 4.125 Å, b = 4.125 Å, c = 13.813 Å
α = 90.00°, β = 90.00°, γ = 90.00°
Space group I4/mmm (No. 139)
One atom of each set of equivalent atoms:
Cd (0.000, 0.000, 0.099) x4
Cd (0.000, 0.500, 0.250) x4
In (0.000, 0.000, 0.500) x2

b | Material: Cd4In
Method: DFT, PBEsol
State: optimized geometry

Values from the calculation:
- spin magnetization (μB/f.u.) = 0.00

a = 6.455 Å, b = 6.455 Å, c = 6.455 Å
α = 90.00°, β = 90.00°, γ = 90.00°
Space group Im-3m (No. 229)
One atom of each set of equivalent atoms:
Cd (0.250, 0.250, 0.250) x8
In (0.000, 0.000, 0.000) x2

Winner for stability: a

a | Material: Cd4In
Method: DFT, PBEsol
State: optimized geometry

Values from the calculation:
- spin magnetization (μB/f.u.) = 0.00

a = 7.012 Å, b = 7.012 Å, c = 4.404 Å
α = 90.00°, β = 90.00°, γ = 90.00°
Space group I4/m (No. 87)
One atom of each set of equivalent atoms:
Cd (0.097, 0.303, 0.000) x8
In (0.000, 0.000, 0.500) x2

b | Material: Cd4In
Method: DFT, PBEsol
State: optimized geometry

Values from the calculation:
- spin magnetization (μB/f.u.) = 0.00

a = 9.807 Å, b = 9.807 Å, c = 9.807 Å
α = 90.00°, β = 90.00°, γ = 90.00°
Space group I-43m (No. 217)
One atom of each set of equivalent atoms:
Cd (0.000, 0.000, 0.345) x12
Cd (0.000, 0.250, 0.500) x12
Cd (0.160, 0.160, 0.840) x8
In (0.174, 0.174, 0.174) x8

Winner for stability: a

a | Material: Cd5In3
Method: DFT, PBEsol
State: optimized geometry

Values from the calculation:
- spin magnetization (μB/f.u.) = 0.00

a = 8.899 Å, b = 8.997 Å, c = 4.477 Å
α = 90.00°, β = 90.00°, γ = 90.00°
Space group Cmmm (No. 65)
One atom of each set of equivalent atoms:
Cd (0.000, 0.000, 0.000) x2
Cd (0.246, 0.000, 0.500) x4
Cd (0.250, 0.250, 0.000) x4
In (0.000, 0.247, 0.500) x4
In (0.000, 0.500, 0.000) x2

b | Material: Cd5In3
Method: DFT, PBEsol
State: optimized geometry

Values from the calculation:
- spin magnetization (μB/f.u.) = 0.00

a = 5.776 Å, b = 14.223 Å, c = 18.093 Å
α = 90.00°, β = 90.00°, γ = 90.00°
Space group Fmmm (No. 69)
One atom of each set of equivalent atoms:
Cd (0.000, 0.106, 0.149) x16
Cd (0.000, 0.154, 0.402) x16
Cd (0.245, 0.000, 0.500) x8
In (0.000, 0.000, 0.295) x8
In (0.000, 0.186, 0.000) x8
In (0.250, 0.250, 0.250) x8

Winner for stability: a

a | Material: Cd3In4
Method: DFT, PBEsol
State: optimized geometry

Values from the calculation:
- spin magnetization (μB/f.u.) = 0.00

a = 3.756 Å, b = 3.756 Å, c = 23.731 Å
α = 90.00°, β = 90.00°, γ = 90.00°
Space group I4/mmm (No. 139)
One atom of each set of equivalent atoms:
Cd (0.000, 0.000, 0.000) x2
Cd (0.000, 0.000, 0.283) x4
In (0.000, 0.000, 0.147) x4
In (0.000, 0.000, 0.429) x4

b | Material: Cd3In4
Method: DFT, PBEsol
State: optimized geometry

Values from the calculation:
- spin magnetization (μB/f.u.) = 0.00

a = 5.7012 Å, b = 5.7012 Å, c = 6.0001 Å
α = 90.00°, β = 90.00°, γ = 120.00°
Space group P6/mmm (No. 191)
One atom of each set of equivalent atoms:
Cd (0.0000, 0.5000, 0.0000) x3
In (0.0000, 0.0000, 0.2580) x2
In (0.3333, 0.6667, 0.5000) x2

Winner for stability: b

a | Material: Cd2In3
Method: DFT, PBEsol
State: optimized geometry

Values from the calculation:
- spin magnetization (μB/f.u.) = 0.00

a = 4.6572 Å, b = 4.6572 Å, c = 6.8339 Å
α = 90.00°, β = 90.00°, γ = 120.00°
Space group P-3m1 (No. 164)
One atom of each set of equivalent atoms:
Cd (0.3333, 0.6667, 0.3152) x2
In (0.0000, 0.0000, 0.5000) x1
In (0.3333, 0.6667, 0.8644) x2

b | Material: Cd2In3
Method: DFT, PBEsol
State: optimized geometry

Values from the calculation:
- spin magnetization (μB/f.u.) = 0.00

a = 3.5175 Å, b = 3.5175 Å, c = 33.4947 Å
α = 90.00°, β = 90.00°, γ = 120.00°
Space group R-3m (No. 166, hexagonal axes)
One atom of each set of equivalent atoms:
Cd (0.0000, 0.0000, 0.1004) x6
In (0.0000, 0.0000, 0.2985) x6
In (0.0000, 0.0000, 0.5000) x3

Winner for stability: b